Below is crystalline EuMgCdIr at its relaxed geometry, with properties calculated at the PBE-GGA level.

abc: 4.9529 4.9529 4.9529
angles: 60.00 60.00 60.00
Fractional coordinates of all 4 atoms:
Eu (0.0000, 0.0000, 0.0000)
Mg (0.5000, 0.5000, 0.5000)
Cd (0.7500, 0.7500, 0.7500)
Ir (0.2500, 0.2500, 0.2500)

Computed properties:
For the formation energy, the calculation gives -158 meV/atom. The density of states at the Fermi level comes out at 1.32 states/eV/atom. The mass density comes out at 9.29 Mg/m³.